(1)
# ZrIr2Rh (PBE, relaxed)
# - V (Å³ per atom) = 16.34
# - formation energy (meV per atom) = -190.7
# - magnetic moment (μB/cell) = 1.07
data_ZrIr2Rh
_chemical_formula_sum 'Zr1 Ir2 Rh1'
_symmetry_space_group_name_H-M 'P 1'
_symmetry_Int_Tables_number 1
_symmetry_space_group_name_Hall 'P 1'
_cell_length_a 4.522
_cell_length_b 4.522
_cell_length_c 4.522
_cell_angle_alpha 60.00
_cell_angle_beta 60.00
_cell_angle_gamma 60.00
loop_
_atom_site_label
_atom_site_type_symbol
_atom_site_fract_x
_atom_site_fract_y
_atom_site_fract_z
_atom_site_occupancy
Ir1 Ir 0.000 0.000 0.000 1
Ir2 Ir 0.250 0.250 0.250 1
Rh1 Rh 0.500 0.500 0.500 1
Zr1 Zr 0.750 0.750 0.750 1



(2)
# La3TlSn2 (PBE, relaxed)
# - V (Å³ per atom) = 30.86
# - formation energy (meV per atom) = -590.7
# - E above lowest polymorph (eV/f.u.) = 0.09
# - magnetic moment (μB/cell) = 0.00
data_La3TlSn2
_chemical_formula_sum 'La6 Tl2 Sn4'
_symmetry_space_group_name_H-M 'P 1'
_symmetry_Int_Tables_number 1
_symmetry_space_group_name_Hall 'P 1'
_cell_length_a 6.683
_cell_length_b 6.455
_cell_length_c 9.403
_cell_angle_alpha 101.56
_cell_angle_beta 110.82
_cell_angle_gamma 90.00
loop_
_atom_site_label
_atom_site_type_symbol
_atom_site_fract_x
_atom_site_fract_y
_atom_site_fract_z
_atom_site_occupancy
La1 La 0.635 0.250 0.000 1
La2 La 0.365 0.750 0.000 1
La3 La 0.290 0.105 0.348 1
La4 La 0.943 0.395 0.652 1
La5 La 0.057 0.605 0.348 1
La6 La 0.710 0.895 0.652 1
Tl1 Tl 0.871 0.750 0.000 1
Tl2 Tl 0.129 0.250 0.000 1
Sn1 Sn 0.550 0.559 0.318 1
Sn2 Sn 0.768 0.059 0.318 1
Sn3 Sn 0.232 0.941 0.682 1
Sn4 Sn 0.450 0.441 0.682 1



- The lowest magnetic moment belongs to which entry?
  La3TlSn2



- Which value of V does entry 2 give?
  30.86 Å³ per atom



Repeat the second record exactly.
# La3TlSn2 (PBE, relaxed)
# - V (Å³ per atom) = 30.86
# - formation energy (meV per atom) = -590.7
# - E above lowest polymorph (eV/f.u.) = 0.09
# - magnetic moment (μB/cell) = 0.00
data_La3TlSn2
_chemical_formula_sum 'La6 Tl2 Sn4'
_symmetry_space_group_name_H-M 'P 1'
_symmetry_Int_Tables_number 1
_symmetry_space_group_name_Hall 'P 1'
_cell_length_a 6.683
_cell_length_b 6.455
_cell_length_c 9.403
_cell_angle_alpha 101.56
_cell_angle_beta 110.82
_cell_angle_gamma 90.00
loop_
_atom_site_label
_atom_site_type_symbol
_atom_site_fract_x
_atom_site_fract_y
_atom_site_fract_z
_atom_site_occupancy
La1 La 0.635 0.250 0.000 1
La2 La 0.365 0.750 0.000 1
La3 La 0.290 0.105 0.348 1
La4 La 0.943 0.395 0.652 1
La5 La 0.057 0.605 0.348 1
La6 La 0.710 0.895 0.652 1
Tl1 Tl 0.871 0.750 0.000 1
Tl2 Tl 0.129 0.250 0.000 1
Sn1 Sn 0.550 0.559 0.318 1
Sn2 Sn 0.768 0.059 0.318 1
Sn3 Sn 0.232 0.941 0.682 1
Sn4 Sn 0.450 0.441 0.682 1